A plane-wave DFT calculation with PBE was carried out for a relaxed Zr2ReW crystal.

total magnetization	0.000	Bohr magnetons per cell
crystal system	tetragonal
E_form	2.82	eV/f.u.

Lattice parameters (Å, degrees): 7.528 7.528 6.011 51.23 51.23 90.00
Fractional positions:
W 0.250 0.750 0.500
Re 0.750 0.250 0.500
W 0.500 0.500 0.000
Zr 0.639 0.125 0.250
Zr 0.111 0.625 0.250
Zr 0.375 0.361 0.750
Re 0.000 0.000 0.000
Zr 0.875 0.889 0.750

***

A plane-wave DFT calculation with PBE was carried out for a relaxed ZrReW crystal.

total magnetization	0.000	Bohr magnetons per cell
crystal system	orthorhombic
E_form	0.15	eV/f.u.
energy above the lowest structure with this stoichiometry	318	meV per atom

Lattice parameters (Å, degrees): 7.264 7.065 2.842 82.51 74.66 22.82
Fractional positions:
W 0.342 0.342 0.658
Re 0.994 0.994 0.006
Zr 0.664 0.664 0.336

***

A plane-wave DFT calculation with PBE was carried out for a relaxed Zr2ReW crystal.

total magnetization	0.000	Bohr magnetons per cell
crystal system	orthorhombic
E_form	1.18	eV/f.u.

Lattice parameters (Å, degrees): 3.070 4.339 5.630 90.00 90.00 90.00
Fractional positions:
Re 0.000 0.000 0.518
Zr 0.500 0.500 0.261
Zr 0.000 0.000 0.990
W 0.500 0.500 0.731

***

A plane-wave DFT calculation with PBE was carried out for a relaxed ZrRe2W crystal.

total magnetization	0.000	Bohr magnetons per cell
crystal system	trigonal
E_form	1.02	eV/f.u.

Lattice parameters (Å, degrees): 8.942 8.942 8.942 19.26 19.26 19.26
Fractional positions:
Zr 0.750 0.750 0.750
W 0.250 0.250 0.250
Re 0.995 0.995 0.995
Re 0.505 0.505 0.505

***

A plane-wave DFT calculation with PBE was carried out for a relaxed Zr2ReW crystal.

total magnetization	0.000	Bohr magnetons per cell
crystal system	monoclinic
E_form	0.30	eV/f.u.

Lattice parameters (Å, degrees): 5.442 5.442 2.925 78.86 78.86 115.78
Fractional positions:
W 0.000 0.500 0.500
Re 0.500 0.000 0.500
Zr 0.000 0.000 0.000
Zr 0.500 0.500 0.000

***

A plane-wave DFT calculation with PBE was carried out for a relaxed ZrRe2W crystal.

total magnetization	0.000	Bohr magnetons per cell
crystal system	tetragonal
E_form	2.85	eV/f.u.

Lattice parameters (Å, degrees): 7.337 7.337 5.865 51.28 51.28 90.00
Fractional positions:
W 0.000 0.000 0.000
W 0.750 0.250 0.500
Zr 0.250 0.750 0.500
Zr 0.500 0.500 0.000
Re 0.653 0.125 0.250
Re 0.375 0.347 0.750
Re 0.097 0.625 0.250
Re 0.875 0.903 0.750